1.
First-principles (PBE) data for a geometry-optimized AcErAg2 structure, as listed in Alexandria via LeMat-Bulk.

CIF file:
```
data_AcErAg2
_chemical_formula_sum 'Ac1 Er1 Ag2'
_cell_length_a 5.134
_cell_length_b 5.134
_cell_length_c 5.766
_cell_angle_alpha 63.56
_cell_angle_beta 63.56
_cell_angle_gamma 60.00
_space_group_name_H-M_alt 'P 1'
_space_group_IT_number 1
loop_
_space_group_symop_operation_xyz
'x,y,z'
loop_
_atom_site_label
_atom_site_fract_x
_atom_site_fract_y
_atom_site_fract_z
Ac1 0.000 0.000 0.000
Ag1 0.780 0.780 0.659
Ag2 0.220 0.220 0.341
Er1 0.500 0.500 0.500
```

Summary:
The formation energy comes out at -1.0 eV/f.u.

---

2.
First-principles (PBE) data for a geometry-optimized AcErAg2 structure, as listed in Alexandria via LeMat-Bulk.

CIF file:
```
data_AcErAg2
_chemical_formula_sum 'Ac1 Er1 Ag2'
_cell_length_a 3.743
_cell_length_b 3.743
_cell_length_c 7.679
_cell_angle_alpha 90.00
_cell_angle_beta 90.00
_cell_angle_gamma 90.00
_space_group_name_H-M_alt 'P 1'
_space_group_IT_number 1
loop_
_space_group_symop_operation_xyz
'x,y,z'
loop_
_atom_site_label
_atom_site_fract_x
_atom_site_fract_y
_atom_site_fract_z
Ac1 0.500 0.500 0.500
Ag1 0.000 0.000 0.789
Ag2 0.000 0.000 0.211
Er1 0.500 0.500 0.000
```

Summary:
The formation energy comes out at -1.1 eV/f.u.

---

3.
First-principles (PBE) data for a geometry-optimized AcErAg structure, as listed in Alexandria via LeMat-Bulk.

CIF file:
```
data_AcErAg
_chemical_formula_sum 'Ac2 Er2 Ag2'
_cell_length_a 5.469
_cell_length_b 5.167
_cell_length_c 7.009
_cell_angle_alpha 111.62
_cell_angle_beta 90.01
_cell_angle_gamma 90.00
_space_group_name_H-M_alt 'P 1'
_space_group_IT_number 1
loop_
_space_group_symop_operation_xyz
'x,y,z'
loop_
_atom_site_label
_atom_site_fract_x
_atom_site_fract_y
_atom_site_fract_z
Ac1 0.750 0.095 0.190
Ac2 0.250 0.905 0.810
Er1 0.750 0.388 0.777
Er2 0.250 0.612 0.223
Ag1 0.750 0.760 0.520
Ag2 0.250 0.240 0.480
```

Summary:
The formation energy comes out at -0.4 eV/f.u.

---

4.
First-principles (PBE) data for a geometry-optimized Ac2ErAg3 structure, as listed in Alexandria via LeMat-Bulk.

CIF file:
```
data_Ac2ErAg3
_chemical_formula_sum 'Ac2 Er1 Ag3'
_cell_length_a 3.822
_cell_length_b 3.822
_cell_length_c 11.624
_cell_angle_alpha 90.00
_cell_angle_beta 90.00
_cell_angle_gamma 90.00
_space_group_name_H-M_alt 'P 1'
_space_group_IT_number 1
loop_
_space_group_symop_operation_xyz
'x,y,z'
loop_
_atom_site_label
_atom_site_fract_x
_atom_site_fract_y
_atom_site_fract_z
Ac1 0.500 0.500 0.823
Ac2 0.500 0.500 0.177
Er1 0.500 0.500 0.500
Ag1 0.000 0.000 0.000
Ag2 0.000 0.000 0.636
Ag3 0.000 0.000 0.364
```

Summary:
The formation energy comes out at -1.6 eV/f.u.

---

Number 1: ρ 8.971 Mg/m³. Number 2: ρ 9.413 Mg/m³. Number 3: ρ 9.057 Mg/m³. Number 4: ρ 9.240 Mg/m³.